1.
VASP calculation (PBE) on a geometry-optimized Sr2ZrTl3Se6 structure.

Cell: 7.5547 7.5547 7.7891 Å, 99.53 99.53 119.97°
Last column: nearest neighbours and their distance in Å.
Positions (direct):
Sr  0.3346  0.6654  0.0000  6 Se 3.10-3.11
Sr  0.6654  0.3346  0.0000  6 Se 3.10-3.11
Zr  0.0000  0.0000  0.0000  6 Se 2.73-2.77
Tl  0.1667  0.8333  0.5000  6 Se 3.15-3.49
Tl  0.8333  0.1667  0.5000  6 Se 3.15-3.49
Tl  0.5000  0.5000  0.5000  6 Se 3.17-3.49
Se  0.9270  0.6314  0.7865  1 Zr 2.73
Se  0.7780  0.7780  0.2203  1 Zr 2.77
Se  0.0730  0.3686  0.2135  1 Zr 2.73
Se  0.6314  0.9270  0.7865  1 Zr 2.73
Se  0.2220  0.2220  0.7797  1 Zr 2.77
Se  0.3686  0.0730  0.2135  1 Zr 2.73

* uncorrected formation energy: -13.82 eV/f.u.
* crystal system: monoclinic
* calculated total energy: -4.48 eV/atom
* magnetic moment: 0.0 μB per formula unit



2.
VASP calculation (PBE) on a geometry-optimized SrTmSe2 structure.

Cell: 4.1673 4.1673 7.4118 Å, 73.67 73.67 60.00°
Last column: nearest neighbours and their distance in Å.
Positions (direct):
Sr  0.5000  0.5000  0.5000  6 Se 3.08
Tm  0.0000  0.0000  0.0000  6 Se 2.88
Se  0.2581  0.2581  0.2256  3 Tm 2.88, 3 Sr 3.08
Se  0.7419  0.7419  0.7744  3 Tm 2.88, 3 Sr 3.08

* E above lowest polymorph: 0.000 eV/f.u.
* uncorrected formation energy: -7.36 eV/f.u.
* crystal system: trigonal
* calculated total energy: -5.12 eV/atom
* magnetic moment: 0.0 μB per formula unit



3.
VASP calculation (PBE) on a geometry-optimized SrTmSe2 structure.

Cell: 4.1049 4.1049 7.7089 Å, 74.56 74.56 60.00°
Last column: nearest neighbours and their distance in Å.
Positions (direct):
Sr  0.4959  0.4959  0.5122  6 Se 3.07-3.19
Tm  0.6701  0.6701  0.9897  6 Se 2.84-2.91
Se  0.0743  0.0743  0.7772  3 Tm 2.84, 3 Sr 3.07
Se  0.2597  0.2597  0.2208  3 Tm 2.91, 3 Sr 3.19

* E above lowest polymorph: 0.254 eV/f.u.
* uncorrected formation energy: -7.11 eV/f.u.
* crystal system: trigonal
* calculated total energy: -5.06 eV/atom
* magnetic moment: 0.0 μB per formula unit



4.
VASP calculation (PBE) on a geometry-optimized SrTm2Se4 structure.

Cell: 4.1094 12.5747 14.8698 Å, 90.00 90.00 90.00°
Last column: nearest neighbours and their distance in Å.
Positions (direct):
Sr  0.2500  0.7605  0.3337  8 Se 3.21-3.45
Sr  0.7500  0.2395  0.6663  8 Se 3.21-3.45
Sr  0.2500  0.2605  0.1663  8 Se 3.21-3.45
Sr  0.7500  0.7395  0.8337  8 Se 3.21-3.45
Tm  0.7500  0.0605  0.8891  6 Se 2.81-2.87
Tm  0.2500  0.9395  0.1109  6 Se 2.81-2.87
Tm  0.7500  0.5605  0.6109  6 Se 2.81-2.87
Tm  0.2500  0.4395  0.3891  6 Se 2.81-2.87
Tm  0.2500  0.4168  0.9024  6 Se 2.79-2.88
Tm  0.7500  0.5833  0.0976  6 Se 2.79-2.88
Tm  0.2500  0.9168  0.5976  6 Se 2.79-2.88
Tm  0.7500  0.0832  0.4024  6 Se 2.79-2.88
Se  0.7500  0.0906  0.0764  3 Tm 2.81-2.85
Se  0.2500  0.9094  0.9236  3 Tm 2.81-2.85
Se  0.7500  0.5906  0.4236  3 Tm 2.81-2.85
Se  0.2500  0.4094  0.5764  3 Tm 2.81-2.85
Se  0.7500  0.9714  0.7156  3 Tm 2.79-2.81
Se  0.2500  0.0286  0.2844  3 Tm 2.79-2.81
Se  0.7500  0.4714  0.7844  3 Tm 2.79-2.81
Se  0.2500  0.5286  0.2156  3 Tm 2.79-2.81
Se  0.7500  0.3721  0.0303  3 Tm 2.84-2.86
Se  0.2500  0.6279  0.9697  3 Tm 2.84-2.86
Se  0.7500  0.8721  0.4697  3 Tm 2.84-2.86
Se  0.2500  0.1279  0.5303  3 Tm 2.84-2.86
Se  0.2500  0.2042  0.8310  3 Tm 2.87-2.88
Se  0.7500  0.7958  0.1690  3 Tm 2.87-2.88
Se  0.2500  0.7042  0.6690  3 Tm 2.87-2.88
Se  0.7500  0.2958  0.3310  3 Tm 2.87-2.88

* E above lowest polymorph: 0.000 eV/f.u.
* uncorrected formation energy: -13.64 eV/f.u.
* crystal system: orthorhombic
* calculated total energy: -5.46 eV/atom
* magnetic moment: 0.0 μB per formula unit



5.
VASP calculation (PBE) on a geometry-optimized SrTmSe structure.

Cell: 4.0094 4.0073 13.9553 Å, 90.00 90.00 120.02°
Last column: nearest neighbours and their distance in Å.
Positions (direct):
Se  0.6105  0.2210  0.0000  6 Sr 3.07
Se  0.2783  0.5566  0.5000  6 Tm 2.91
Tm  0.6117  0.2235  0.3730  3 Se 2.91
Tm  0.6117  0.2235  0.6270  3 Se 2.91
Sr  0.2771  0.5543  0.8558  3 Se 3.07
Sr  0.2771  0.5543  0.1442  3 Se 3.07

* uncorrected formation energy: -2.90 eV/f.u.
* crystal system: orthorhombic
* calculated total energy: -4.18 eV/atom
* magnetic moment: 0.0 μB per formula unit



6.
VASP calculation (PBE) on a geometry-optimized SrTm6Se8 structure.

Cell: 7.7508 7.7508 7.7508 Å, 92.97 92.97 92.97°
Last column: nearest neighbours and their distance in Å.
Positions (direct):
Sr  0.0000  0.0000  0.0000  2 Se 3.03
Tm  0.6015  0.4374  0.8051  5 Se 2.75-2.94
Tm  0.4374  0.8051  0.6015  5 Se 2.75-2.94
Tm  0.8051  0.6015  0.4374  5 Se 2.75-2.94
Tm  0.3985  0.5626  0.1949  5 Se 2.75-2.94
Tm  0.5626  0.1949  0.3985  5 Se 2.75-2.94
Tm  0.1949  0.3985  0.5626  5 Se 2.75-2.94
Se  0.7617  0.7617  0.7617  3 Tm 2.79, 1 Sr 3.03
Se  0.2383  0.2383  0.2383  3 Tm 2.79, 1 Sr 3.03
Se  0.6206  0.8617  0.2844  4 Tm 2.75-2.94
Se  0.8617  0.2844  0.6206  4 Tm 2.75-2.94
Se  0.2844  0.6206  0.8617  4 Tm 2.75-2.94
Se  0.3794  0.1383  0.7156  4 Tm 2.75-2.94
Se  0.1383  0.7156  0.3794  4 Tm 2.75-2.94
Se  0.7156  0.3794  0.1383  4 Tm 2.75-2.94

* uncorrected formation energy: -24.05 eV/f.u.
* crystal system: trigonal
* calculated total energy: -5.36 eV/atom
* magnetic moment: 1.5 μB per formula unit



7.
VASP calculation (PBE) on a geometry-optimized SrTm2Se4 structure.

Cell: 4.0994 7.0205 13.9948 Å, 90.00 90.00 106.98°
Last column: nearest neighbours and their distance in Å.
Positions (direct):
Sr  0.6114  0.2228  0.7500  6 Se 3.04-3.21
Sr  0.3886  0.7772  0.2500  6 Se 3.04-3.21
Tm  0.1345  0.2691  0.4317  6 Se 2.75-2.89
Tm  0.8655  0.7309  0.9317  6 Se 2.75-2.89
Tm  0.1345  0.2691  0.0683  6 Se 2.75-2.89
Tm  0.8655  0.7309  0.5683  6 Se 2.75-2.89
Se  0.7703  0.5406  0.1143  3 Tm 2.82-2.86
Se  0.7703  0.5406  0.3857  3 Tm 2.82-2.86
Se  0.2297  0.4594  0.8857  3 Tm 2.82-2.86
Se  0.2297  0.4594  0.6143  3 Tm 2.82-2.86
Se  0.9443  0.8886  0.7500  2 Tm 2.75, 2 Sr 3.04
Se  0.0557  0.1114  0.2500  2 Tm 2.75, 2 Sr 3.04
Se  0.5000  0.0000  0.0000  4 Tm 2.89
Se  0.5000  0.0000  0.5000  4 Tm 2.89

* E above lowest polymorph: 0.116 eV/f.u.
* uncorrected formation energy: -13.52 eV/f.u.
* crystal system: orthorhombic
* calculated total energy: -5.44 eV/atom
* magnetic moment: 0.0 μB per formula unit



8.
VASP calculation (PBE) on a geometry-optimized SrY2TmSe4 structure.

Cell: 4.1212 7.1936 7.1829 Å, 70.94 90.00 90.00°
Last column: nearest neighbours and their distance in Å.
Positions (direct):
Sr  0.5000  0.5000  0.0000  6 Se 2.98-3.00
Y  0.0000  0.0000  0.0000  6 Se 2.96
Y  0.5000  0.0000  0.5000  6 Se 2.87
Tm  0.0000  0.5000  0.5000  6 Se 2.90
Se  0.0000  0.7583  0.7365  3 Y 2.87-2.96, 1 Tm 2.90, 2 Sr 3.00
Se  0.0000  0.2417  0.2635  3 Y 2.87-2.96, 1 Tm 2.90, 2 Sr 3.00
Se  0.5000  0.7500  0.2599  3 Y 2.87-2.96, 2 Tm 2.90, 1 Sr 2.98
Se  0.5000  0.2500  0.7401  3 Y 2.87-2.96, 2 Tm 2.90, 1 Sr 2.98

* uncorrected formation energy: -14.22 eV/f.u.
* crystal system: monoclinic
* calculated total energy: -5.90 eV/atom
* magnetic moment: 0.0 μB per formula unit